Record 1
SrTlTe2 PBE-GGA optimized geometry; raw formation energy = -329 kJ/mol of formula units; magnetic moment = 0.0000 μB/atom
1.0
0.000 3.218 13.415
3.207 0.000 13.415
3.207 3.218 0.000
Sr Tl Te
2 2 4
Cartesian
3.207 3.218 2.683 Sr
3.207 3.218 24.146 Sr
1.604 1.609 6.707 Tl
4.811 4.828 20.122 Tl
1.604 1.609 0.000 Te
3.207 3.218 9.506 Te
1.604 1.609 13.415 Te
3.207 3.218 17.323 Te


Record 2
HfNbN2 PBE-GGA optimized geometry; raw formation energy = -529 kJ/mol of formula units; magnetic moment = 0.0000 μB/atom
1.0
1.588 0.917 5.201
-1.588 0.917 5.201
0.000 -1.834 5.201
Hf Nb N
1 1 2
Cartesian
0.000 0.000 0.000 Hf
0.000 0.000 7.801 Nb
0.000 0.000 3.959 N
0.000 0.000 11.644 N


Record 3
MoPtCl2 PBE-GGA optimized geometry; raw formation energy = -35 kJ/mol of formula units; magnetic moment = 0.0000 μB/atom
1.0
7.185 -1.453 0.000
7.185 1.453 0.000
-1.493 0.000 4.419
Mo Pt Cl
1 1 2
Cartesian
0.000 0.000 0.000 Mo
6.438 0.000 2.209 Pt
3.814 0.000 3.784 Cl
9.062 0.000 0.635 Cl


Record 4
MgP4Ru PBE-GGA optimized geometry; formation enthalpy at 0 K = 0.537 eV/atom; magnetic moment = 0.0000 μB/atom
1.0
0.000 3.540 3.540
3.540 0.000 3.540
3.540 3.540 0.000
Mg P Ru
1 4 1
Cartesian
0.000 0.000 0.000 Mg
2.650 2.650 2.650 P
4.430 4.430 2.650 P
4.430 2.650 4.430 P
2.650 4.430 4.430 P
5.310 5.310 5.310 Ru


Record 5
SrHg6Pd12 PBE-GGA optimized geometry; formation enthalpy at 0 K = -0.053 eV/atom; magnetic moment = 0.0000 μB/atom
1.0
6.020 3.476 3.025
-6.020 3.476 3.025
0.000 -6.951 3.025
Sr Hg Pd
1 6 12
Cartesian
0.000 0.000 0.000 Sr
0.000 -2.859 3.897 Hg
-2.476 1.430 3.897 Hg
-2.476 -1.430 5.178 Hg
2.476 1.430 3.897 Hg
2.476 -1.430 5.178 Hg
0.000 2.859 5.178 Hg
-2.342 -4.056 4.537 Pd
-4.684 0.000 4.537 Pd
-1.456 -0.841 2.574 Pd
1.456 -0.841 2.574 Pd
0.000 1.682 2.574 Pd
2.342 -4.056 4.537 Pd
-2.342 4.056 4.537 Pd
0.000 -1.682 6.501 Pd
-1.456 0.841 6.501 Pd
1.456 0.841 6.501 Pd
4.684 0.000 4.537 Pd
2.342 4.056 4.537 Pd


Record 6
CrIr2Pb PBE-GGA optimized geometry; formation enthalpy at 0 K = 0.384 eV/atom; magnetic moment = 0.4928 μB/atom
1.0
1.476 0.852 9.074
-1.476 0.852 9.074
0.000 -1.704 9.074
Cr Ir Pb
1 2 1
Cartesian
0.000 0.000 0.000 Cr
0.000 0.000 7.158 Ir
0.000 0.000 20.063 Ir
0.000 0.000 13.611 Pb


Record 7
TaTeAsI2 PBE-GGA optimized geometry; raw formation energy = 281 kJ/mol of formula units; magnetic moment = 0.5751 μB/atom
1.0
5.609 0.000 0.000
0.000 5.609 0.000
0.000 0.000 5.413
Ta Te As I
1 1 1 2
Cartesian
0.000 0.000 0.000 Ta
0.000 0.000 2.707 Te
2.804 2.804 2.707 As
0.000 2.804 0.000 I
2.804 0.000 0.000 I


Record 8
BaGaHg3 PBE-GGA optimized geometry; formation enthalpy at 0 K = 0.446 eV/atom; magnetic moment = 0.0000 μB/atom
1.0
6.413 0.000 0.000
0.000 6.413 0.000
0.000 0.000 6.413
Ba Ga Hg
1 1 3
Cartesian
0.000 0.000 0.000 Ba
3.207 3.207 3.207 Ga
0.000 0.000 3.207 Hg
0.000 3.207 0.000 Hg
3.207 0.000 0.000 Hg


Record 9
PmDyBr PBE-GGA optimized geometry; raw formation energy = -215 kJ/mol of formula units; magnetic moment = 0.1316 μB/atom
1.0
3.762 0.000 0.000
-1.881 3.258 0.000
0.000 0.000 7.421
Pm Dy Br
1 1 1
Cartesian
0.000 0.000 0.000 Pm
0.000 2.172 4.699 Dy
1.881 1.086 2.429 Br


Record 10
BaTaOs2 PBE-GGA optimized geometry; formation enthalpy at 0 K = 0.929 eV/atom; magnetic moment = 0.0000 μB/atom
1.0
-1.493 2.678 5.295
1.493 -2.678 5.295
1.493 2.678 -5.295
Ba Ta Os
1 1 2
Cartesian
0.000 0.000 0.000 Ba
0.000 2.678 2.115 Ta
1.493 0.000 3.095 Os
0.000 0.000 5.252 Os


Record 11
MnFeBr2 PBE-GGA optimized geometry; raw formation energy = 155 kJ/mol of formula units; magnetic moment = 1.7883 μB/atom
1.0
3.313 -4.086 0.000
3.313 4.086 0.000
-1.793 0.000 3.155
Mn Fe Br
1 1 2
Cartesian
0.000 0.000 0.000 Mn
3.313 0.000 0.000 Fe
1.657 2.043 0.000 Br
1.657 -2.043 0.000 Br


Record 12
DyGa2Ag2 PBE-GGA optimized geometry; formation enthalpy at 0 K = -0.334 eV/atom; magnetic moment = 0.0000 μB/atom
1.0
-1.941 2.159 11.782
1.941 -2.159 11.782
1.941 2.159 -11.782
Dy Ga Ag
2 4 4
Cartesian
0.000 1.079 1.912 Dy
1.941 1.079 9.870 Dy
1.941 1.079 -3.105 Ga
1.941 1.079 -0.630 Ga
0.000 1.079 12.411 Ga
0.000 1.079 14.887 Ga
1.941 -1.079 6.936 Ag
1.941 1.079 4.726 Ag
0.000 1.079 7.056 Ag
0.000 3.238 4.845 Ag


Record 13
CaNd8Se12 PBE-GGA optimized geometry; raw formation energy = -3805 kJ/mol of formula units; magnetic moment = 0.0000 μB/atom
1.0
6.337 -6.343 0.000
6.337 6.343 0.000
-6.331 0.000 13.385
Ca Nd Se
2 16 24
Cartesian
3.171 3.965 6.693 Ca
6.337 -3.965 0.000 Ca
5.542 4.784 1.104 Nd
1.619 5.511 11.150 Nd
-0.022 2.358 8.905 Nd
2.383 1.588 3.339 Nd
-1.571 0.803 13.370 Nd
-0.782 -1.588 10.031 Nd
1.595 -0.803 6.678 Nd
6.300 2.383 4.456 Nd
3.143 -2.358 2.212 Nd
2.405 1.622 12.278 Nd
4.763 0.837 8.930 Nd
7.928 -0.837 2.237 Nd
5.570 -1.622 5.586 Nd
3.134 -2.383 11.148 Nd
2.376 -4.784 7.797 Nd
4.784 -5.511 4.458 Nd
3.051 3.191 0.655 Se
0.836 2.209 6.035 Se
-2.381 0.950 10.472 Se
3.942 4.124 3.810 Se
1.740 0.035 0.650 Se
-1.425 -0.035 7.342 Se
-0.141 3.162 11.807 Se
0.785 -0.950 3.779 Se
3.006 3.181 9.590 Se
7.118 2.251 1.563 Se
-2.329 -2.209 12.728 Se
3.988 0.891 6.019 Se
4.903 -0.001 2.872 Se
1.737 0.001 9.564 Se
-0.114 -3.191 7.347 Se
0.823 -0.891 12.711 Se
3.024 -3.162 5.114 Se
0.776 -4.124 10.503 Se
10.259 0.933 1.582 Se
3.953 -2.251 8.255 Se
8.045 0.039 5.102 Se
4.879 -0.039 11.795 Se
6.171 -3.181 2.897 Se
7.094 -0.933 8.275 Se


Record 14
AcScGaAu PBE-GGA optimized geometry; formation enthalpy at 0 K = -0.508 eV/atom; magnetic moment = 0.0000 μB/atom
1.0
0.000 3.706 3.706
3.706 0.000 3.706
3.706 3.706 0.000
Ac Sc Ga Au
1 1 1 1
Cartesian
0.000 0.000 0.000 Ac
3.706 3.706 3.706 Sc
1.853 1.853 1.853 Ga
5.559 5.559 5.559 Au


Record 15
NaNiB PBE-GGA optimized geometry; formation enthalpy at 0 K = 0.082 eV/atom; magnetic moment = 0.0000 μB/atom
1.0
5.078 -1.669 0.000
5.078 1.669 0.000
-0.347 0.000 4.702
Na Ni B
2 2 2
Cartesian
2.302 0.000 1.156 Na
7.508 0.000 3.545 Na
5.078 0.000 0.000 Ni
4.905 0.000 2.351 Ni
-0.099 0.000 3.395 B
9.909 0.000 1.306 B


Record 16
CsWS3 PBE-GGA optimized geometry; raw formation energy = 1120 kJ/mol of formula units; magnetic moment = 0.6959 μB/atom
1.0
5.403 0.000 0.000
0.000 5.403 0.000
0.000 0.000 5.403
Cs W S
1 1 3
Cartesian
0.000 0.000 0.000 Cs
2.701 2.701 2.701 W
0.000 0.000 2.701 S
0.000 2.701 0.000 S
2.701 0.000 0.000 S


Record 17
BaCrSe3 PBE-GGA optimized geometry; raw formation energy = 280 kJ/mol of formula units; magnetic moment = 0.4000 μB/atom
1.0
6.112 0.000 0.000
0.000 6.112 0.000
0.000 0.000 6.112
Ba Cr Se
1 1 3
Cartesian
0.000 0.000 0.000 Ba
3.056 3.056 3.056 Cr
0.000 0.000 3.056 Se
0.000 3.056 0.000 Se
3.056 0.000 0.000 Se


Record 18
As2Cl PBE-GGA optimized geometry; raw formation energy = 6 kJ/mol of formula units; magnetic moment = 0.0000 μB/atom
1.0
-1.822 1.822 5.762
1.822 -1.822 5.762
1.822 1.822 -5.762
As Cl
2 1
Cartesian
0.000 0.000 2.515 As
0.000 0.000 9.008 As
0.000 0.000 0.000 Cl


Record 19
CoIrN PBE-GGA optimized geometry; raw formation energy = 128 kJ/mol of formula units; magnetic moment = 0.6301 μB/atom
1.0
8.136 -1.363 0.000
8.136 1.363 0.000
-0.925 0.000 3.783
Co Ir N
2 2 2
Cartesian
3.535 0.000 0.871 Co
11.811 0.000 2.912 Co
1.528 0.000 2.385 Ir
13.818 0.000 1.398 Ir
7.071 0.000 1.742 N
8.275 0.000 2.041 N


Record 20
K2NaSCl PBE-GGA optimized geometry; raw formation energy = -598 kJ/mol of formula units; magnetic moment = 0.0000 μB/atom
1.0
6.026 0.000 0.000
0.000 6.026 0.000
0.000 0.000 5.144
K Na S Cl
2 1 1 1
Cartesian
0.000 3.013 0.000 K
3.013 0.000 0.000 K
0.000 0.000 2.572 Na
0.000 0.000 0.000 S
3.013 3.013 2.572 Cl


Record 21
Ni2BH PBE-GGA optimized geometry; magnetic moment = 0.0000 μB/atom; total DFT energy (no corrections) = -5.34 eV/atom
1.0
-2.467 2.467 2.500
2.467 -2.467 2.500
2.467 2.467 -2.500
Ni B H
4 2 2
Cartesian
3.701 0.998 -0.625 Ni
0.998 1.234 0.625 Ni
-1.234 1.469 1.875 Ni
1.469 1.234 3.125 Ni
2.467 0.000 1.250 B
0.000 0.000 2.500 B
0.000 0.000 0.000 H
0.000 2.467 1.250 H


Record 22
Cs3Rb5Na2 PBE-GGA optimized geometry; formation enthalpy at 0 K = 0.021 eV/atom; magnetic moment = 0.0000 μB/atom
1.0
16.031 0.000 0.000
0.000 16.031 0.000
0.000 0.000 6.773
Cs Rb Na
6 10 4
Cartesian
0.000 0.000 0.000 Cs
2.728 5.287 0.000 Cs
5.287 13.303 0.000 Cs
8.016 8.016 0.000 Cs
10.744 2.728 0.000 Cs
13.303 10.744 0.000 Cs
0.000 8.016 3.386 Rb
1.198 12.622 3.386 Rb
3.409 1.198 3.386 Rb
4.606 9.213 3.386 Rb
6.818 4.606 3.386 Rb
8.016 0.000 3.386 Rb
9.213 11.425 3.386 Rb
11.425 6.818 3.386 Rb
12.622 14.834 3.386 Rb
14.834 3.409 3.386 Rb
1.973 9.989 0.000 Na
6.042 1.973 0.000 Na
9.989 14.058 0.000 Na
14.058 6.042 0.000 Na


Record 23
YLuSe3 PBE-GGA optimized geometry; raw formation energy = -766 kJ/mol of formula units; magnetic moment = 0.0000 μB/atom
1.0
3.713 2.144 6.076
-3.713 2.144 6.076
0.000 -4.288 6.076
Y Lu Se
2 2 6
Cartesian
0.000 0.000 0.000 Y
0.000 0.000 9.114 Y
0.000 0.000 4.557 Lu
0.000 0.000 13.671 Lu
-2.372 0.179 7.595 Se
-1.341 -1.965 10.633 Se
1.031 -2.144 7.595 Se
-1.031 2.144 10.633 Se
1.341 1.965 7.595 Se
2.372 -0.179 10.633 Se


Record 24
Rb3Tl3CrBr8 PBE-GGA optimized geometry; raw formation energy = -1660 kJ/mol of formula units; magnetic moment = 0.2667 μB/atom
1.0
4.807 2.775 7.695
-4.807 2.775 7.695
0.000 -5.551 7.695
Rb Tl Cr Br
3 3 1 8
Cartesian
-2.404 -1.388 7.695 Rb
-2.404 1.388 15.391 Rb
0.000 2.775 7.695 Rb
-4.807 0.000 11.543 Tl
-2.404 1.388 3.848 Tl
2.404 1.388 3.848 Tl
0.000 0.000 0.000 Cr
-2.891 -1.669 13.800 Br
0.000 -3.338 9.287 Br
-2.891 1.669 9.287 Br
0.000 0.000 5.720 Br
0.000 0.000 17.366 Br
2.891 -1.669 13.800 Br
0.000 3.338 13.800 Br
2.891 1.669 9.287 Br